(a)
Compound: PmEr3Tl
Source: Alexandria
Functional: GGA-PBE
Structure: relaxed

Calculated values
symmetry	Cmcm, No. 63

Unit cell a=4.8369 b=4.8003 c=12.9142 alpha=90.00 beta=79.21 gamma=90.00
Each line ends with the local moment (μB).
Atoms (fractional coordinates):
Pm  0.4721  0.7500  0.7043  0.04
Pm  0.1763  0.2500  0.2957  0.04
Er  0.7732  0.2500  0.1019  0.01
Er  0.3705  0.2500  0.9074  0.01
Er  0.5748  0.2500  0.4987  0.08
Er  0.2779  0.7500  0.0926  0.01
Er  0.8751  0.7500  0.8981  0.01
Er  0.0735  0.7500  0.5013  0.08
Tl  0.6708  0.7500  0.3067  0.00
Tl  0.9775  0.2500  0.6933  0.00

(b)
Compound: PmEr3Tl
Source: Alexandria
Functional: GGA-PBE
Structure: relaxed

Calculated values
symmetry	Pnma, No. 62

Unit cell a=5.2919 b=12.1465 c=9.7470 alpha=90.00 beta=90.00 gamma=90.00
Each line ends with the local moment (μB).
Atoms (fractional coordinates):
Pm  0.7500  0.7631  0.9296  0.05
Pm  0.2500  0.7369  0.4296  0.05
Pm  0.7500  0.2631  0.5704  0.05
Pm  0.2500  0.2369  0.0704  0.05
Er  0.2500  0.5723  0.0581  0.00
Er  0.7500  0.4277  0.9419  0.00
Er  0.2500  0.0723  0.4419  0.00
Er  0.7500  0.9277  0.5581  0.00
Er  0.2500  0.4113  0.7412  0.07
Er  0.7500  0.0887  0.2412  0.07
Er  0.2500  0.9113  0.7588  0.07
Er  0.7500  0.5642  0.6032  0.09
Er  0.2500  0.4358  0.3968  0.09
Er  0.7500  0.0642  0.8968  0.09
Er  0.7500  0.5887  0.2588  0.07
Er  0.2500  0.9358  0.1032  0.09
Tl  0.2500  0.1605  0.7461  0.00
Tl  0.2500  0.6605  0.7539  0.00
Tl  0.7500  0.3395  0.2461  0.00
Tl  0.7500  0.8395  0.2539  0.00

Q: What are the energies relative to the best structure? A: (a) 0.000; (b) 0.049, in eV/atom.

(a)
Compound: Pm2ErTl3
Source: Alexandria
Functional: GGA-PBE
Structure: relaxed

Calculated values
symmetry	Cmcm, No. 63

Unit cell a=3.7374 b=6.7405 c=14.6257 alpha=90.00 beta=97.34 gamma=90.00
Atoms (fractional coordinates):
Pm  0.1540  0.7500  0.3080
Pm  0.8460  0.2500  0.6920
Pm  0.9948  0.7500  0.9896
Pm  0.0052  0.2500  0.0104
Er  0.3322  0.7500  0.6644
Er  0.6678  0.2500  0.3356
Tl  0.4221  0.4912  0.8443
Tl  0.5779  0.5088  0.1557
Tl  0.4221  0.0088  0.8443
Tl  0.5779  0.9912  0.1557
Tl  0.7462  0.7500  0.4924
Tl  0.2538  0.2500  0.5076

(b)
Compound: Pm2ErTl3
Source: Alexandria
Functional: GGA-PBE
Structure: relaxed

Calculated values
symmetry	P4/mmm, No. 123

Unit cell a=3.8044 b=3.8044 c=11.7691 alpha=90.00 beta=90.00 gamma=90.00
Atoms (fractional coordinates):
Pm  0.5000  0.5000  0.8283
Pm  0.5000  0.5000  0.1717
Er  0.5000  0.5000  0.5000
Tl  0.0000  0.0000  0.0000
Tl  0.0000  0.0000  0.6563
Tl  0.0000  0.0000  0.3437

Q: What are the energies relative to the best structure? A: (a) 0.135; (b) 0.000, in eV/atom.